[1]
Below is CdMoPb after structural relaxation, with properties calculated at the PBE level.

## Properties
size of the total moment: 0.0 μB per cell
volume: 65.33 Å³/f.u.
symmetry: P3m1 (156)
formation enthalpy at 0 K: 0.637 eV per atom
ρ: 10.6 Mg/m³
DOS at the Fermi energy: 2.51 states/eV per cell

a b c (Å): 3.1471 3.1471 7.6167
angles (deg): 90.00 90.00 120.00
Element x y z (fractional)
Cd 0.0000 0.0000 0.0275
Mo 0.6667 0.3333 0.3270
Pb 0.3333 0.6667 0.6455

***

[2]
Below is CdMoPb after structural relaxation, with properties calculated at the PBE level.

## Properties
size of the total moment: 0.0 μB per cell
volume: 68.51 Å³/f.u.
symmetry: Fmm2 (42)
formation enthalpy at 0 K: 0.611 eV per atom
ρ: 10.1 Mg/m³
DOS at the Fermi energy: 2.07 states/eV per cell

a b c (Å): 7.9476 7.8362 3.0314
angles (deg): 81.00 76.87 22.13
Element x y z (fractional)
Cd 0.9747 0.9747 0.0253
Mo 0.3375 0.3375 0.6625
Pb 0.6878 0.6878 0.3122

***

[3]
Below is CdMo2Pb after structural relaxation, with properties calculated at the PBE level.

## Properties
size of the total moment: 0.0 μB per cell
volume: 76.34 Å³/f.u.
symmetry: Immm (71)
formation enthalpy at 0 K: 0.725 eV per atom
ρ: 11.1 Mg/m³
DOS at the Fermi energy: 3.27 states/eV per cell

a b c (Å): 5.5467 5.5467 5.5467
angles (deg): 144.30 129.12 63.70
Element x y z (fractional)
Cd 0.2500 0.7500 0.5000
Mo 0.9954 0.9954 0.0000
Mo 0.5046 0.5046 0.0000
Pb 0.7500 0.2500 0.5000

***

[4]
Below is CdMo2Pb after structural relaxation, with properties calculated at the PBE level.

## Properties
size of the total moment: 0.0 μB per cell
volume: 76.29 Å³/f.u.
symmetry: Pmmm (47)
formation enthalpy at 0 K: 0.742 eV per atom
ρ: 11.1 Mg/m³
DOS at the Fermi energy: 3.35 states/eV per cell

a b c (Å): 3.3997 4.7645 4.7098
angles (deg): 90.00 90.00 90.00
Element x y z (fractional)
Cd 0.0000 0.5000 0.5000
Mo 0.0000 0.0000 0.0000
Mo 0.5000 0.5000 0.0000
Pb 0.5000 0.0000 0.5000

***

[5]
Below is CdMo3Pb after structural relaxation, with properties calculated at the PBE level.

## Properties
size of the total moment: 0.0 μB per cell
volume: 118.94 Å³/f.u.
symmetry: Pm-3m (221)
formation enthalpy at 0 K: 2.318 eV per atom
ρ: 8.5 Mg/m³
DOS at the Fermi energy: 8.50 states/eV per cell

a b c (Å): 4.9179 4.9179 4.9179
angles (deg): 90.00 90.00 90.00
Element x y z (fractional)
Pb 0.5000 0.5000 0.5000
Mo 0.0000 0.5000 0.0000
Mo 0.0000 0.0000 0.5000
Mo 0.5000 0.0000 0.0000
Cd 0.0000 0.0000 0.0000

***

[6]
Below is CdMo2Pb after structural relaxation, with properties calculated at the PBE level.

## Properties
size of the total moment: 0.0 μB per cell
volume: 81.44 Å³/f.u.
symmetry: Cm (8)
formation enthalpy at 0 K: 0.553 eV per atom
ρ: 10.4 Mg/m³
DOS at the Fermi energy: 1.93 states/eV per cell

a b c (Å): 5.4809 5.4809 5.0843
angles (deg): 69.89 69.89 34.86
Element x y z (fractional)
Cd 0.2662 0.2662 0.2127
Mo 0.0324 0.0324 0.9921
Mo 0.7134 0.7134 0.7666
Pb 0.4880 0.4880 0.5285

***

[7]
Below is CdMoPb after structural relaxation, with properties calculated at the PBE level.

## Properties
size of the total moment: 2.4 μB per cell
volume: 75.78 Å³/f.u.
symmetry: F-43m (216)
formation enthalpy at 0 K: 0.833 eV per atom
ρ: 9.1 Mg/m³
DOS at the Fermi energy: 1.25 states/eV per cell

a b c (Å): 4.7500 4.7500 4.7500
angles (deg): 60.00 60.00 60.00
Element x y z (fractional)
Cd 0.5000 0.5000 0.5000
Mo 0.7500 0.7500 0.7500
Pb 0.0000 0.0000 0.0000

***

[8]
Below is CdMo2Pb after structural relaxation, with properties calculated at the PBE level.

## Properties
size of the total moment: 0.0 μB per cell
volume: 77.06 Å³/f.u.
symmetry: R-3m (166)
formation enthalpy at 0 K: 0.801 eV per atom
ρ: 11.0 Mg/m³
DOS at the Fermi energy: 4.08 states/eV per cell

a b c (Å): 9.7486 9.7486 9.7486
angles (deg): 17.98 17.98 17.98
Element x y z (fractional)
Cd 0.7500 0.7500 0.7500
Mo 0.0002 0.0002 0.0002
Mo 0.4998 0.4998 0.4998
Pb 0.2500 0.2500 0.2500